(1)
# meta-GGA SCAN KAg, single point on PBEsol structure
# - distance to the lowest polymorph of the same formula (eV/atom) = 0.089
# - SG = Pm-3m, No. 221
# - ΔH_f (0 K) (eV per atom) = 0.1270
data_KAg
_space_group_name_H-M_alt 'P 1'
_space_group_IT_number 1
_cell_length_a 3.959
_cell_length_b 3.959
_cell_length_c 3.959
_cell_angle_alpha 90.00
_cell_angle_beta 90.00
_cell_angle_gamma 90.00
loop_
_space_group_symop_operation_xyz
'x,y,z'
loop_
_atom_site_label
_atom_site_type_symbol
_atom_site_fract_x
_atom_site_fract_y
_atom_site_fract_z
K1 K 0.000 0.000 0.000
Ag1 Ag 0.500 0.500 0.500

(2)
# meta-GGA SCAN KAg2, single point on PBEsol structure
# - SG = I4_1/amd, No. 141
# - ΔH_f (0 K) (eV per atom) = 0.1164
data_KAg2
_space_group_name_H-M_alt 'P 1'
_space_group_IT_number 1
_cell_length_a 4.617
_cell_length_b 4.617
_cell_length_c 16.070
_cell_angle_alpha 90.00
_cell_angle_beta 90.00
_cell_angle_gamma 90.00
loop_
_space_group_symop_operation_xyz
'x,y,z'
loop_
_atom_site_label
_atom_site_type_symbol
_atom_site_fract_x
_atom_site_fract_y
_atom_site_fract_z
K1 K 0.000 0.250 0.375
K2 K 0.000 0.750 0.625
K3 K 0.500 0.250 0.125
K4 K 0.500 0.750 0.875
Ag1 Ag 0.000 0.250 0.792
Ag2 Ag 0.000 0.250 0.958
Ag3 Ag 0.000 0.750 0.042
Ag4 Ag 0.000 0.750 0.208
Ag5 Ag 0.500 0.250 0.542
Ag6 Ag 0.500 0.250 0.708
Ag7 Ag 0.500 0.750 0.292
Ag8 Ag 0.500 0.750 0.458

(3)
# meta-GGA SCAN KAg3, single point on PBEsol structure
# - SG = Pnma, No. 62
# - ΔH_f (0 K) (eV per atom) = 0.0657
data_KAg3
_space_group_name_H-M_alt 'P 1'
_space_group_IT_number 1
_cell_length_a 8.175
_cell_length_b 7.453
_cell_length_c 6.167
_cell_angle_alpha 90.00
_cell_angle_beta 90.00
_cell_angle_gamma 90.00
loop_
_space_group_symop_operation_xyz
'x,y,z'
loop_
_atom_site_label
_atom_site_type_symbol
_atom_site_fract_x
_atom_site_fract_y
_atom_site_fract_z
K1 K 0.024 0.250 0.117
K2 K 0.476 0.750 0.617
K3 K 0.524 0.250 0.383
K4 K 0.976 0.750 0.883
Ag1 Ag 0.139 0.750 0.349
Ag2 Ag 0.153 0.064 0.581
Ag3 Ag 0.153 0.436 0.581
Ag4 Ag 0.347 0.564 0.081
Ag5 Ag 0.347 0.936 0.081
Ag6 Ag 0.361 0.250 0.849
Ag7 Ag 0.639 0.750 0.151
Ag8 Ag 0.653 0.064 0.919
Ag9 Ag 0.653 0.436 0.919
Ag10 Ag 0.847 0.564 0.419
Ag11 Ag 0.847 0.936 0.419
Ag12 Ag 0.861 0.250 0.651

(4)
# meta-GGA SCAN K2LaAg, single point on PBEsol structure
# - SG = Cmmm, No. 65
# - ΔH_f (0 K) (eV per atom) = 0.4780
data_K2LaAg
_space_group_name_H-M_alt 'P 1'
_space_group_IT_number 1
_cell_length_a 6.636
_cell_length_b 12.604
_cell_length_c 3.526
_cell_angle_alpha 90.00
_cell_angle_beta 90.00
_cell_angle_gamma 90.00
loop_
_space_group_symop_operation_xyz
'x,y,z'
loop_
_atom_site_label
_atom_site_type_symbol
_atom_site_fract_x
_atom_site_fract_y
_atom_site_fract_z
K1 K 0.250 0.250 0.000
K2 K 0.250 0.750 0.000
K3 K 0.750 0.250 0.000
K4 K 0.750 0.750 0.000
La1 La 0.000 0.000 0.500
La2 La 0.500 0.500 0.500
Ag1 Ag 0.000 0.500 0.500
Ag2 Ag 0.500 0.000 0.500

(5)
# meta-GGA SCAN KLiAg, single point on PBEsol structure
# - SG = I4mm, No. 107
# - ΔH_f (0 K) (eV per atom) = 0.0408
data_KLiAg
_space_group_name_H-M_alt 'P 1'
_space_group_IT_number 1
_cell_length_a 3.657
_cell_length_b 3.657
_cell_length_c 12.216
_cell_angle_alpha 90.00
_cell_angle_beta 90.00
_cell_angle_gamma 90.00
loop_
_space_group_symop_operation_xyz
'x,y,z'
loop_
_atom_site_label
_atom_site_type_symbol
_atom_site_fract_x
_atom_site_fract_y
_atom_site_fract_z
K1 K 0.000 0.000 0.000
K2 K 0.500 0.500 0.500
Li1 Li 0.000 0.000 0.267
Li2 Li 0.500 0.500 0.767
Ag1 Ag 0.000 0.000 0.705
Ag2 Ag 0.500 0.500 0.205

(6)
# meta-GGA SCAN KLiAg2, single point on PBEsol structure
# - distance to the lowest polymorph of the same formula (eV/atom) = 0.000
# - SG = R-3m, No. 166
# - ΔH_f (0 K) (eV per atom) = -0.0366
data_KLiAg2
_space_group_name_H-M_alt 'P 1'
_space_group_IT_number 1
_cell_length_a 4.636
_cell_length_b 4.636
_cell_length_c 17.803
_cell_angle_alpha 90.00
_cell_angle_beta 90.00
_cell_angle_gamma 120.00
loop_
_space_group_symop_operation_xyz
'x,y,z'
loop_
_atom_site_label
_atom_site_type_symbol
_atom_site_fract_x
_atom_site_fract_y
_atom_site_fract_z
K1 K 0.000 0.000 0.000
K2 K 0.333 0.667 0.667
K3 K 0.667 0.333 0.333
Li1 Li 0.000 0.000 0.500
Li2 Li 0.333 0.667 0.167
Li3 Li 0.667 0.333 0.833
Ag1 Ag 0.000 0.000 0.185
Ag2 Ag 0.000 0.000 0.815
Ag3 Ag 0.333 0.667 0.481
Ag4 Ag 0.333 0.667 0.852
Ag5 Ag 0.667 0.333 0.148
Ag6 Ag 0.667 0.333 0.519

Across the entries above, electronic total energy takes the values -39.44 -282.85 -408.67 -178.43 -83.93 -220.80 eV/cell, respectively.
Across the entries above, total moment takes the values 0.0 0.0 0.0 1.9 0.0 0.0 μB/cell, respectively.